No. 1
The following is a PBE calculation of a relaxed structure of NiRu2Br, from the Alexandria database.

Calculated values
Crystal system   orthorhombic
Uncorrected formation energy   0.846 eV/atom
Size of the total moment   0.00 μB/f.u.
E_tot   -5.66 eV per atom
DOS(E_F)   1.28 states/eV/atom
E above lowest polymorph   32.3 kJ per mole of atoms

abc: 4.367 4.367 2.990
angles: 90.00 90.00 90.16
Fractional positions:
Ni 0.000 0.000 0.000
Ru 0.000 0.500 0.500
Ru 0.500 0.000 0.500
Br 0.500 0.500 0.000


No. 2
The following is a PBE calculation of a relaxed structure of Ni3RuBr, from the Alexandria database.

Calculated values
Crystal system   cubic
Uncorrected formation energy   1.313 eV/atom
Size of the total moment   0.00 μB/f.u.
E_tot   -4.35 eV per atom
DOS(E_F)   1.77 states/eV/atom
E above lowest polymorph   9.0 kJ per mole of atoms

abc: 4.544 4.544 4.544
angles: 90.00 90.00 90.00
Fractional positions:
Ni 0.000 0.000 0.500
Ni 0.000 0.500 0.000
Ni 0.500 0.000 0.000
Ru 0.000 0.000 0.000
Br 0.500 0.500 0.500


No. 3
The following is a PBE calculation of a relaxed structure of NiRu2Br, from the Alexandria database.

Calculated values
Crystal system   monoclinic
Uncorrected formation energy   0.920 eV/atom
Size of the total moment   0.00 μB/f.u.
E_tot   -5.58 eV per atom
DOS(E_F)   1.52 states/eV/atom
E above lowest polymorph   39.4 kJ per mole of atoms

abc: 5.192 5.192 2.964
angles: 104.58 104.58 120.03
Fractional positions:
Ni 0.000 0.000 0.000
Ru 0.000 0.500 0.500
Ru 0.500 0.000 0.500
Br 0.500 0.500 0.000